# Mn2Tc, relaxed, DFT GGA-PBE
data_Mn2Tc
_cell_length_a 3.413
_cell_length_b 3.413
_cell_length_c 13.458
_cell_angle_alpha 90.00
_cell_angle_beta 90.00
_cell_angle_gamma 90.00
_space_group_name_H-M_alt 'I 41/a m d'
_space_group_IT_number 141
loop_
_space_group_symop_operation_xyz
'x,y,z'
'-x,-y,-z'
'-y+1/4,x+3/4,z+1/4'
'y+1/4,-x+3/4,-z+1/4'
'-x+1/2,-y,z+1/2'
'x+1/2,y,-z+1/2'
'y+1/4,-x+1/4,z+3/4'
'-y+1/4,x+1/4,-z+3/4'
'x,-y,-z'
'-x,y,z'
'-y+1/4,-x+1/4,-z+3/4'
'y+1/4,x+1/4,z+3/4'
'-x+1/2,y,-z+1/2'
'x+1/2,-y,z+1/2'
'y+1/4,x+3/4,-z+1/4'
'-y+1/4,-x+3/4,z+1/4'
'x+1/2,y+1/2,z+1/2'
'-x+1/2,-y+1/2,-z+1/2'
'-y+3/4,x+1/4,z+3/4'
'y+3/4,-x+1/4,-z+3/4'
'-x,-y+1/2,z'
'x,y+1/2,-z'
'y+3/4,-x+3/4,z+1/4'
'-y+3/4,x+3/4,-z+1/4'
'x+1/2,-y+1/2,-z+1/2'
'-x+1/2,y+1/2,z+1/2'
'-y+3/4,-x+3/4,-z+1/4'
'y+3/4,x+3/4,z+1/4'
'-x,y+1/2,-z'
'x,-y+1/2,z'
'y+3/4,x+1/4,-z+3/4'
'-y+3/4,-x+1/4,z+3/4'
loop_
_atom_site_label
_atom_site_type_symbol
_atom_site_fract_x
_atom_site_fract_y
_atom_site_fract_z
Mn1 Mn 0.000 0.250 0.294
Tc1 Tc 0.000 0.250 0.875
# - Energy above the lowest structure with this stoichiometry: 652 meV per atom
# - Magnetic moment: 0.00 μB per cell
# - DFT formation energy: 0.570 eV/atom

# TlInPt2, relaxed, DFT GGA-PBE
data_TlInPt2
_cell_length_a 3.2145
_cell_length_b 3.2145
_cell_length_c 26.1483
_cell_angle_alpha 90.00
_cell_angle_beta 90.00
_cell_angle_gamma 120.00
_space_group_name_H-M_alt 'R -3 m'
_space_group_IT_number 166
_space_group_name_Hall '-R 3 2"'
loop_
_atom_site_label
_atom_site_type_symbol
_atom_site_fract_x
_atom_site_fract_y
_atom_site_fract_z
Tl1 Tl 0.0000 0.0000 0.0000
In1 In 0.0000 0.0000 0.5000
Pt1 Pt 0.0000 0.0000 0.2465
# - Magnetic moment: 0.00 μB per cell
# - DFT formation energy: -0.053 eV/atom

# Ho2ScZn12Ni3, relaxed, DFT GGA-PBE
data_Ho2ScZn12Ni3
_cell_length_a 7.7260
_cell_length_b 7.7260
_cell_length_c 19.8100
_cell_angle_alpha 90.00
_cell_angle_beta 90.00
_cell_angle_gamma 120.00
_space_group_name_H-M_alt 'R -3 m'
_space_group_IT_number 166
_space_group_name_Hall '-R 3 2"'
loop_
_atom_site_label
_atom_site_type_symbol
_atom_site_fract_x
_atom_site_fract_y
_atom_site_fract_z
Ho1 Ho 0.0000 0.0000 0.0873
Sc1 Sc 0.0000 0.0000 0.5000
Zn1 Zn 0.0759 0.5379 0.2778
Zn2 Zn 0.0932 0.5466 0.8794
Ni1 Ni 0.0000 0.5000 0.0000
# - Magnetic moment: 0.00 μB per cell
# - DFT formation energy: 0.126 eV/atom

# MgTcIr, relaxed, DFT GGA-PBE
data_MgTcIr
_cell_length_a 4.897
_cell_length_b 2.799
_cell_length_c 7.364
_cell_angle_alpha 90.00
_cell_angle_beta 109.32
_cell_angle_gamma 90.00
_space_group_name_H-M_alt 'P 1 2/m 1'
_space_group_IT_number 10
loop_
_space_group_symop_operation_xyz
'x,y,z'
'-x,-y,-z'
'-x,y,-z'
'x,-y,z'
loop_
_atom_site_label
_atom_site_type_symbol
_atom_site_fract_x
_atom_site_fract_y
_atom_site_fract_z
Mg1 Mg 0.189 0.000 0.379
Tc1 Tc 0.233 0.000 0.000
Ir1 Ir 0.363 0.500 0.725
# - Energy above the lowest structure with this stoichiometry: 58 meV per atom
# - Magnetic moment: 0.00 μB per cell
# - DFT formation energy: -0.137 eV/atom

# Na2SrPPd, relaxed, DFT GGA-PBE
data_Na2SrPPd
_cell_length_a 6.260
_cell_length_b 6.260
_cell_length_c 5.262
_cell_angle_alpha 90.00
_cell_angle_beta 90.00
_cell_angle_gamma 90.00
_space_group_name_H-M_alt 'P 4/m m m'
_space_group_IT_number 123
_space_group_name_Hall '-P 4 2'
loop_
_atom_site_label
_atom_site_type_symbol
_atom_site_fract_x
_atom_site_fract_y
_atom_site_fract_z
Na1 Na 0.000 0.500 0.000
Sr1 Sr 0.000 0.000 0.000
P1 P 0.000 0.000 0.500
Pd1 Pd 0.500 0.500 0.500
# - Magnetic moment: 0.00 μB per cell
# - DFT formation energy: 0.867 eV/atom

# Al4TeW, relaxed, DFT GGA-PBE
data_Al4TeW
_cell_length_a 7.437
_cell_length_b 7.437
_cell_length_c 7.437
_cell_angle_alpha 90.00
_cell_angle_beta 90.00
_cell_angle_gamma 90.00
_space_group_name_H-M_alt 'F -4 3 m'
_space_group_IT_number 216
_space_group_name_Hall 'F -4 2 3'
loop_
_atom_site_label
_atom_site_type_symbol
_atom_site_fract_x
_atom_site_fract_y
_atom_site_fract_z
Al1 Al 0.124 0.124 0.376
Te1 Te 0.000 0.000 0.000
W1 W 0.250 0.250 0.750
# - Magnetic moment: 0.00 μB per cell
# - Uncorrected formation energy: 0.3301 eV/atom

# Er4Cd2Au, relaxed, DFT GGA-PBE
data_Er4Cd2Au
_cell_length_a 5.1324
_cell_length_b 5.1324
_cell_length_c 25.0047
_cell_angle_alpha 90.00
_cell_angle_beta 90.00
_cell_angle_gamma 120.00
_space_group_name_H-M_alt 'R -3 m'
_space_group_IT_number 166
_space_group_name_Hall '-R 3 2"'
loop_
_atom_site_label
_atom_site_type_symbol
_atom_site_fract_x
_atom_site_fract_y
_atom_site_fract_z
Er1 Er 0.0000 0.0000 0.1240
Er2 Er 0.0000 0.0000 0.3751
Cd1 Cd 0.0000 0.0000 0.2473
Au1 Au 0.0000 0.0000 0.0000
# - Magnetic moment: 0.00 μB per cell
# - DFT formation energy: -0.280 eV/atom

# SrTlCl, relaxed, DFT GGA-PBE
data_SrTlCl
_cell_length_a 3.969
_cell_length_b 3.969
_cell_length_c 13.306
_cell_angle_alpha 90.00
_cell_angle_beta 90.00
_cell_angle_gamma 90.00
_space_group_name_H-M_alt 'I 4 m m'
_space_group_IT_number 107
_space_group_name_Hall 'I 4 -2'
loop_
_atom_site_label
_atom_site_type_symbol
_atom_site_fract_x
_atom_site_fract_y
_atom_site_fract_z
Sr1 Sr 0.000 0.000 0.000
Tl1 Tl 0.000 0.000 0.678
Cl1 Cl 0.000 0.000 0.416
# - Energy above the lowest structure with this stoichiometry: 293 meV per atom
# - Magnetic moment: 0.00 μB per cell
# - Uncorrected formation energy: -1.0069 eV/atom